{"formula": "ErTm3Pb2C2", "functional": "GGA-PBE", "state": "relaxed", "lattice_angstrom": [[-3.5097, 0.7250, -0.0166], [1.1655, -3.1895, 1.1457], [1.1080, 5.7019, 14.7467]], "species": ["C", "Tm", "Er", "Pb", "Tm", "Pb", "C", "Tm"], "fractional_positions": [[0.0000, 0.0000, 0.9994], [0.6667, 0.3333, 0.9178], [0.3333, 0.6667, 0.0824], [0.3333, 0.6667, 0.7500], [0.3333, 0.6667, 0.4181], [0.6667, 0.3333, 0.2504], [0.0000, 0.0000, 0.5001], [0.6667, 0.3333, 0.5818]], "magnetic_moment_mub_per_cell": 0.02, "dft_energy_ev_per_atom": -6.016}